Record 1
OsPtW2: optimized geometry, PBE.

Formation enthalpy at 0 K in eV/atom: -0.1358
Space group: No. 123
Total moment in Bohr magnetons per cell: 0.0
V in Å³/f.u.: 61.41
DFT total energy in eV/atom: -10.930

abc: 3.9404 3.9405 3.9548
angles: 90.00 90.00 90.00
Positions (direct):
W: 0.5000 0.5000 0.0000
W: 0.0000 0.0000 0.0000
Os: 0.5000 0.0000 0.5000
Pt: 0.0000 0.5000 0.5000



Record 2
OsPt2W: optimized geometry, PBE.

Formation enthalpy at 0 K in eV/atom: 0.2398
Space group: No. 123
Total moment in Bohr magnetons per cell: 0.4
V in Å³/f.u.: 62.79
DFT total energy in eV/atom: -8.826

abc: 3.4124 3.4124 5.3924
angles: 90.00 90.00 90.00
Site moments in Bohr magnetons follow the coordinates.
Positions (direct):
Pt: 0.0000 0.0000 0.5018  0.01
Pt: 0.0000 0.0000 0.9982  0.01
Os: 0.5000 0.5000 0.7500  0.32
W: 0.5000 0.5000 0.2500  0.02



Record 3
OsPtW4: optimized geometry, PBE.

Formation enthalpy at 0 K in eV/atom: 0.4305
Space group: No. 216
Total moment in Bohr magnetons per cell: 0.0
V in Å³/f.u.: 98.66
DFT total energy in eV/atom: -11.083

abc: 5.1867 5.1867 5.1867
angles: 60.00 60.00 60.00
Positions (direct):
W: 0.8774 0.3742 0.3742
W: 0.3742 0.8774 0.3742
W: 0.3742 0.3742 0.3742
W: 0.3742 0.3742 0.8774
Os: 0.7500 0.7500 0.7500
Pt: 0.0000 0.0000 0.0000